The following is a GGA+U calculation of Li2TcWO6 after structural relaxation, from Alexandria via LeMat-Bulk.

a = 5.6144 Å, b = 5.6144 Å, c = 3.8526 Å
α = 90.00°, β = 90.00°, γ = 90.00°
Sites, in units of the cell vectors:
Li1 0.0000 0.5000 0.0000
Li2 0.5000 0.0000 0.0000
Tc1 0.0000 0.0000 0.8486
W1 0.5000 0.5000 0.8338
O1 0.0000 0.0000 0.3505
O2 0.2553 0.2553 0.8577
O3 0.2553 0.7447 0.8577
O4 0.5000 0.5000 0.3453
O5 0.7447 0.2553 0.8577
O6 0.7447 0.7447 0.8577

Results
* DFT total energy: -69.1 eV for the cell shown